# MoIr3Rh3 (PBE, relaxed)
# * energy above the lowest structure with this stoichiometry: 0 meV/atom
# * theoretical density: 14.96 Mg/m³
data_MoIr3Rh3
_chemical_formula_sum 'Mo4 Ir12 Rh12'
_space_group_name_H-M_alt 'P 21 3'
_space_group_IT_number 198
_space_group_name_Hall 'P 2ac 2ab 3'
_cell_length_a 7.5810
_cell_length_b 7.5810
_cell_length_c 7.5810
_cell_angle_alpha 90.00
_cell_angle_beta 90.00
_cell_angle_gamma 90.00
loop_
_atom_site_label
_atom_site_type_symbol
_atom_site_fract_x
_atom_site_fract_y
_atom_site_fract_z
Mo1 Mo 0.1320 0.3680 0.6320
Ir1 Ir 0.0065 0.1836 0.8939
Rh1 Rh 0.0607 0.5607 0.9393
Rh2 Rh 0.1546 0.8454 0.3454
Rh3 Rh 0.1981 0.1981 0.1981

# Mo5Ir4Rh2 (PBE, relaxed)
# * theoretical density: 14.52 Mg/m³
data_Mo5Ir4Rh2
_chemical_formula_sum 'Mo10 Ir8 Rh4'
_space_group_name_H-M_alt 'P b a m'
_space_group_IT_number 55
_cell_length_a 6.9910
_cell_length_b 17.0333
_cell_length_c 2.7926
_cell_angle_alpha 90.00
_cell_angle_beta 90.00
_cell_angle_gamma 90.00
loop_
_space_group_symop_operation_xyz
'x,y,z'
'-x,-y,-z'
'-x,-y,z'
'x,y,-z'
'x+1/2,-y+1/2,-z'
'-x+1/2,y+1/2,z'
'-x+1/2,y+1/2,-z'
'x+1/2,-y+1/2,z'
loop_
_atom_site_label
_atom_site_type_symbol
_atom_site_fract_x
_atom_site_fract_y
_atom_site_fract_z
Mo1 Mo 0.0000 0.0000 0.0000
Mo2 Mo 0.1342 0.4378 0.0000
Mo3 Mo 0.2289 0.2089 0.0000
Ir1 Ir 0.0777 0.8553 0.5000
Ir2 Ir 0.2118 0.5721 0.5000
Rh1 Rh 0.0407 0.3081 0.5000

# MoIrRh (PBE, relaxed)
# * energy above the lowest structure with this stoichiometry: 196 meV/atom
# * theoretical density: 14.44 Mg/m³
data_MoIrRh
_chemical_formula_sum 'Mo4 Ir4 Rh4'
_space_group_name_H-M_alt 'I m m m'
_space_group_IT_number 71
_space_group_name_Hall '-I 2 2'
_cell_length_a 4.3655
_cell_length_b 5.4564
_cell_length_c 7.5528
_cell_angle_alpha 90.00
_cell_angle_beta 90.00
_cell_angle_gamma 90.00
loop_
_atom_site_label
_atom_site_type_symbol
_atom_site_fract_x
_atom_site_fract_y
_atom_site_fract_z
Mo1 Mo 0.0000 0.2493 0.0000
Ir1 Ir 0.0000 0.5000 0.3340
Rh1 Rh 0.0000 0.0000 0.3326

# MoIr3Rh3 (PBE, relaxed)
# * energy above the lowest structure with this stoichiometry: 412 meV/atom
# * theoretical density: 10.76 Mg/m³
data_MoIr3Rh3
_chemical_formula_sum 'Mo2 Ir6 Rh6'
_space_group_name_H-M_alt 'P 63/m'
_space_group_IT_number 176
_space_group_name_Hall '-P 6c'
_cell_length_a 11.3909
_cell_length_b 11.3909
_cell_length_c 2.6947
_cell_angle_alpha 90.00
_cell_angle_beta 90.00
_cell_angle_gamma 120.00
loop_
_atom_site_label
_atom_site_type_symbol
_atom_site_fract_x
_atom_site_fract_y
_atom_site_fract_z
Mo1 Mo 0.3333 0.6667 0.2500
Ir1 Ir 0.1609 0.4305 0.2500
Rh1 Rh 0.0521 0.6175 0.2500

# Mo2IrRh2 (PBE, relaxed)
# * energy above the lowest structure with this stoichiometry: 0 meV/atom
# * theoretical density: 12.85 Mg/m³
data_Mo2IrRh2
_chemical_formula_sum 'Mo4 Ir2 Rh4'
_space_group_name_H-M_alt 'C m m m'
_space_group_IT_number 65
_space_group_name_Hall '-C 2 2'
_cell_length_a 2.7640
_cell_length_b 19.7963
_cell_length_c 2.7855
_cell_angle_alpha 90.00
_cell_angle_beta 90.00
_cell_angle_gamma 90.00
loop_
_atom_site_label
_atom_site_type_symbol
_atom_site_fract_x
_atom_site_fract_y
_atom_site_fract_z
Mo1 Mo 0.0000 0.0990 0.0000
Ir1 Ir 0.0000 0.5000 0.5000
Rh1 Rh 0.0000 0.3088 0.5000

# MoIrRh3 (PBE, relaxed)
# * energy above the lowest structure with this stoichiometry: 0 meV/atom
# * theoretical density: 13.28 Mg/m³
data_MoIrRh3
_chemical_formula_sum 'Mo2 Ir2 Rh6'
_space_group_name_H-M_alt 'P 1 21/m 1'
_space_group_IT_number 11
_cell_length_a 4.4373
_cell_length_b 5.4805
_cell_length_c 6.5248
_cell_angle_alpha 90.00
_cell_angle_beta 109.86
_cell_angle_gamma 90.00
loop_
_space_group_symop_operation_xyz
'x,y,z'
'-x,-y,-z'
'-x,y+1/2,-z'
'x,-y+1/2,z'
loop_
_atom_site_label
_atom_site_type_symbol
_atom_site_fract_x
_atom_site_fract_y
_atom_site_fract_z
Mo1 Mo 0.1890 0.2500 0.3790
Ir1 Ir 0.0000 0.0000 0.0000
Rh1 Rh 0.1862 0.7500 0.3720
Rh2 Rh 0.3802 0.9999 0.7606

# MoIrRh4 (PBE, relaxed)
# * energy above the lowest structure with this stoichiometry: 493 meV/atom
# * theoretical density: 12.87 Mg/m³
data_MoIrRh4
_chemical_formula_sum 'Mo4 Ir4 Rh16'
_space_group_name_H-M_alt 'F -4 3 m'
_space_group_IT_number 216
_space_group_name_Hall 'F -4 2 3'
_cell_length_a 7.1216
_cell_length_b 7.1216
_cell_length_c 7.1216
_cell_angle_alpha 90.00
_cell_angle_beta 90.00
_cell_angle_gamma 90.00
loop_
_atom_site_label
_atom_site_type_symbol
_atom_site_fract_x
_atom_site_fract_y
_atom_site_fract_z
Mo1 Mo 0.0000 0.0000 0.0000
Ir1 Ir 0.2500 0.2500 0.2500
Rh1 Rh 0.1246 0.1246 0.6246

# MoIr2Ru4Rh (PBE, relaxed)
# * theoretical density: 12.36 Mg/m³
data_MoIr2Ru4Rh
_chemical_formula_sum 'Mo1 Ir2 Ru4 Rh1'
_space_group_name_H-M_alt 'P 1 2/m 1'
_space_group_IT_number 10
_cell_length_a 6.3417
_cell_length_b 3.4942
_cell_length_c 6.3600
_cell_angle_alpha 90.00
_cell_angle_beta 109.75
_cell_angle_gamma 90.00
loop_
_space_group_symop_operation_xyz
'x,y,z'
'-x,-y,-z'
'-x,y,-z'
'x,-y,z'
loop_
_atom_site_label
_atom_site_type_symbol
_atom_site_fract_x
_atom_site_fract_y
_atom_site_fract_z
Mo1 Mo 0.0000 0.0000 0.0000
Ir1 Ir 0.0000 0.5000 0.5000
Ir2 Ir 0.5000 0.0000 0.5000
Ru1 Ru 0.2426 0.5000 0.2457
Ru2 Ru 0.2564 0.0000 0.7335
Rh1 Rh 0.5000 0.5000 0.0000

Total magnetic moment (μB/f.u.)
0.0, 0.0, 0.0, 0.0, 0.0, 0.0, 0.0, 0.0
DFT formation energy (eV per atom)
0.173, -0.182, -0.027, 0.585, -0.133, -0.068, 0.303, 1.002